1.
DFT (PBE) results for a relaxed structure of Cs6Rb9Cl.

Cell and atoms, written as extended XYZ:
```
16
Lattice="10.062 0.000 -5.571 -3.084 9.577 -5.571 1.013 1.390 13.702" Properties=species:S:1:pos:R:3 pbc="T T T"
Cs 4.349 8.590 -8.935
Cs 2.628 0.988 -2.206
Cs 8.121 2.805 -6.627
Cs -1.143 6.773 -4.514
Cs 6.554 8.996 -0.034
Cs 1.436 1.972 2.594
Rb 7.741 7.732 -4.918
Rb 2.318 6.076 -0.657
Rb 6.813 4.069 -1.620
Rb 3.247 9.739 -3.954
Rb 0.249 3.236 7.478
Rb 5.672 4.892 3.217
Rb 1.178 6.899 4.180
Rb 4.743 1.229 6.515
Rb 3.489 4.789 -5.571
Cl 0.000 0.000 0.000
```

Calculated values
symmetry	No. 87

***

2.
DFT (PBE) results for a relaxed structure of CsRbCl.

Cell and atoms, written as extended XYZ:
```
3
Lattice="4.333 0.000 0.000 0.000 4.333 0.000 -2.166 -2.166 8.546" Properties=species:S:1:pos:R:3 pbc="T T T"
Cs 0.000 0.000 4.835
Rb 0.000 0.000 0.833
Cl 2.166 2.166 2.879
```

Calculated values
symmetry	No. 107
relative energy among the computed polymorphs	0.053	eV/atom

***

3.
DFT (PBE) results for a relaxed structure of Cs3RbCl4.

Cell and atoms, written as extended XYZ:
```
8
Lattice="4.940 0.000 0.000 0.000 8.544 -0.073 0.000 -2.763 8.085" Properties=species:S:1:pos:R:3 pbc="T T T"
Cs 0.000 -1.381 4.043
Cs 2.470 2.891 4.006
Cs 0.000 4.272 -0.036
Rb 2.470 0.000 0.000
Cl 0.000 1.393 1.931
Cl 2.470 5.775 1.925
Cl 0.000 4.388 6.081
Cl 2.470 0.006 6.087
```

Calculated values
symmetry	No. 65

***

4.
DFT (PBE) results for a relaxed structure of Cs2Rb3Cl4.

Cell and atoms, written as extended XYZ:
```
9
Lattice="4.674 0.000 1.150 2.034 8.069 1.810 -0.230 0.532 11.011" Properties=species:S:1:pos:R:3 pbc="T T T"
Cs 3.061 1.818 7.708
Cs 3.417 6.783 6.263
Rb 0.000 0.000 0.000
Rb 1.735 3.379 3.021
Rb 4.743 5.222 10.949
Cl 3.906 1.123 4.275
Cl 2.572 7.478 9.696
Cl 2.260 2.867 10.964
Cl 4.218 5.734 3.007
```

Calculated values
symmetry	No. 12

***

5.
DFT (PBE) results for a relaxed structure of Cs2Rb2Cl.

Cell and atoms, written as extended XYZ:
```
10
Lattice="9.467 0.000 0.000 0.000 9.467 0.000 0.000 0.000 9.541" Properties=species:S:1:pos:R:3 pbc="T T T"
Cs 2.801 7.534 0.000
Cs 7.534 6.667 0.000
Cs 6.667 1.933 0.000
Cs 1.933 2.801 0.000
Rb 1.647 6.381 4.770
Rb 6.381 7.820 4.770
Rb 7.820 3.086 4.770
Rb 3.086 1.647 4.770
Cl 0.000 0.000 0.000
Cl 4.734 4.734 0.000
```

Calculated values
symmetry	No. 127
relative energy among the computed polymorphs	0.010	eV/atom

***

6.
DFT (PBE) results for a relaxed structure of Cs2RbCl.

Cell and atoms, written as extended XYZ:
```
4
Lattice="0.000 5.207 5.207 5.207 0.000 5.207 5.207 5.207 0.000" Properties=species:S:1:pos:R:3 pbc="T T T"
Cs 2.603 2.603 2.603
Cs 7.810 7.810 7.810
Rb 5.207 5.207 5.207
Cl 0.000 0.000 0.000
```

Calculated values
symmetry	No. 225
relative energy among the computed polymorphs	0.348	eV/atom

***

7.
DFT (PBE) results for a relaxed structure of CsRb3Cl4.

Cell and atoms, written as extended XYZ:
```
8
Lattice="-2.968 -1.792 -3.327 -5.320 -2.277 5.970 -5.354 6.197 1.437" Properties=species:S:1:pos:R:3 pbc="T T T"
Cs -9.498 4.162 2.759
Rb -4.161 2.202 -0.944
Rb -8.322 4.405 -1.889
Rb -8.305 0.168 0.377
Cl -10.973 1.064 2.274
Cl -6.858 -1.039 3.204
Cl -5.637 -0.728 -1.519
Cl -6.784 3.166 0.877
```

Calculated values
symmetry	No. 65

***

8.
DFT (PBE) results for a relaxed structure of Cs2RbCl.

Cell and atoms, written as extended XYZ:
```
8
Lattice="-5.292 5.292 6.423 5.292 -5.292 6.423 5.292 5.292 -6.423" Properties=species:S:1:pos:R:3 pbc="T T T"
Cs 2.646 -1.220 4.817
Cs 2.646 6.512 -1.606
Cs 4.072 2.646 1.606
Cs 1.220 2.646 8.029
Rb 0.000 5.292 3.212
Rb 0.000 0.000 0.000
Cl 5.292 0.000 3.212
Cl 0.000 0.000 6.423
```

Calculated values
symmetry	No. 122
relative energy among the computed polymorphs	0.056	eV/atom

***

9.
DFT (PBE) results for a relaxed structure of CsRbCl.

Cell and atoms, written as extended XYZ:
```
3
Lattice="4.941 0.000 0.000 -2.470 4.279 0.000 0.000 0.000 8.590" Properties=species:S:1:pos:R:3 pbc="T T T"
Cs 0.000 0.000 0.841
Rb 0.000 2.852 4.837
Cl 2.470 1.426 2.913
```

Calculated values
symmetry	No. 156
relative energy among the computed polymorphs	0.000	eV/atom

***

10.
DFT (PBE) results for a relaxed structure of Cs6Rb12Cl.

Cell and atoms, written as extended XYZ:
```
19
Lattice="12.062 0.147 2.278 1.915 11.910 2.278 0.170 0.147 12.274" Properties=species:S:1:pos:R:3 pbc="T T T"
Cs 3.987 10.351 4.743
Cs 3.324 9.779 12.088
Cs 11.336 9.779 5.353
Cs 10.161 1.853 12.088
Cs 10.824 2.425 4.743
Cs 2.811 2.425 11.478
Rb 6.796 2.468 8.085
Rb 3.439 6.360 8.086
Rb 7.374 6.361 4.778
Rb 7.351 9.735 8.746
Rb 10.709 5.843 8.745
Rb 6.774 5.843 12.053
Rb 5.913 1.783 3.130
Rb 11.517 6.617 13.701
Rb 12.081 10.421 10.468
Rb 8.235 10.421 13.701
Rb 2.631 5.587 3.130
Rb 2.066 1.782 6.363
Cl 0.000 0.000 0.000
```

Calculated values
symmetry	No. 166

***

11.
DFT (PBE) results for a relaxed structure of CsRb6Cl8.

Cell and atoms, written as extended XYZ:
```
15
Lattice="-0.061 -2.651 -4.292 11.309 2.849 -1.921 -2.682 -9.776 6.078" Properties=species:S:1:pos:R:3 pbc="T T T"
Cs -0.030 -1.326 -2.146
Rb 7.058 -1.363 -3.762
Rb 8.418 -4.729 -1.701
Rb 4.321 -4.027 -2.077
Rb 1.508 -8.216 3.627
Rb 0.148 -4.849 1.567
Rb 4.246 -5.552 1.943
Cl 10.105 -2.056 -3.252
Cl 6.155 -6.539 -0.427
Cl 3.541 -1.357 -3.591
Cl -1.539 -7.523 3.118
Cl 2.412 -3.040 0.292
Cl 5.025 -8.222 3.456
Cl 1.937 -7.537 0.225
Cl 6.630 -2.042 -0.359
```

Calculated values
symmetry	No. 147

***

12.
DFT (PBE) results for a relaxed structure of Cs5Rb2Cl.

Cell and atoms, written as extended XYZ:
```
16
Lattice="8.441 0.000 0.000 -4.221 7.562 0.000 0.000 0.000 24.049" Properties=species:S:1:pos:R:3 pbc="T T T"
Cs 4.221 6.168 20.524
Cs 4.221 6.168 15.549
Cs 0.000 6.169 8.507
Cs 0.000 6.169 3.517
Cs 4.221 3.787 6.012
Cs 0.000 3.775 18.036
Cs 4.221 1.393 15.541
Cs 4.221 1.393 20.531
Cs 0.000 1.394 3.525
Cs 0.000 1.394 8.500
Rb 4.221 3.849 10.925
Rb 4.221 3.849 1.100
Rb 0.000 3.713 13.124
Rb 0.000 3.713 22.949
Cl 4.221 3.777 18.036
Cl 0.000 3.785 6.012
```

Calculated values
symmetry	No. 63

***

| no. | E_form (uncorrected) (eV/atom) |
| --- | --- |
| 1 | -0.234 |
| 2 | -1.193 |
| 3 | -1.957 |
| 4 | -1.695 |
| 5 | -0.659 |
| 6 | -0.597 |
| 7 | -1.945 |
| 8 | -0.889 |
| 9 | -1.246 |
| 10 | -0.192 |
| 11 | -1.684 |
| 12 | -0.432 |